Record 1
A plane-wave DFT calculation with GGA-PBE was carried out for an optimized crystal structure of Sc2CrBr.

Summary:
- Calculated total energy: -6.08 eV/atom
- Raw formation energy: -0.4 eV/f.u.
- Crystal system: orthorhombic

Geometry as POSCAR:
```
Sc2CrBr
1.0
-2.0834 -2.3298 3.4558
2.8412 -1.4838 0.7126
2.5731 3.0326 3.5958
Sc Br Cr
2 1 1
Direct
0.0000 0.9817 0.9123
0.5000 0.2747 0.3236
0.0000 0.7085 0.4572
0.5000 0.5351 0.8069
```

=====

Record 2
A plane-wave DFT calculation with GGA-PBE was carried out for an optimized crystal structure of ScCrBr2.

Summary:
- Calculated total energy: -4.96 eV/atom
- Raw formation energy: -0.5 eV/f.u.
- Crystal system: tetragonal

Geometry as POSCAR:
```
ScCrBr2
1.0
6.7480 0.0151 0.0000
4.5055 5.0236 0.0000
-5.6267 -2.5193 2.7438
Br Cr Sc
2 1 1
Direct
0.0000 0.0000 0.0000
0.2500 0.7500 0.5000
0.5000 0.5000 0.0000
0.7500 0.2500 0.5000
```

=====

Record 3
A plane-wave DFT calculation with GGA-PBE was carried out for an optimized crystal structure of ScCrBr2.

Summary:
- Calculated total energy: -5.02 eV/atom
- Raw formation energy: -0.8 eV/f.u.
- Crystal system: monoclinic

Geometry as POSCAR:
```
ScCrBr2
1.0
4.3464 0.0000 0.0000
0.0000 3.6160 -0.1023
0.0000 -0.0965 5.9632
Cr Sc Br
1 1 2
Direct
0.5000 0.2500 0.2500
0.5000 0.7500 0.7500
0.0000 0.0040 0.0043
0.0000 0.4960 0.4957
```

=====

Record 4
A plane-wave DFT calculation with GGA-PBE was carried out for an optimized crystal structure of ScCrBr2.

Summary:
- Calculated total energy: -5.25 eV/atom
- Raw formation energy: -1.7 eV/f.u.
- Crystal system: monoclinic

Geometry as POSCAR:
```
ScCrBr2
1.0
6.2478 0.2902 -1.1647
5.1531 3.5447 -1.1647
-1.0683 -0.3594 6.1405
Sc Br Cr
1 2 1
Direct
0.2586 0.2586 0.1084
0.9342 0.9342 0.1609
0.6156 0.6156 0.7914
0.6916 0.6916 0.4393
```

=====

Record 5
A plane-wave DFT calculation with GGA-PBE was carried out for an optimized crystal structure of Sc2CrBr.

Summary:
- Calculated total energy: -5.50 eV/atom
- Raw formation energy: 1.9 eV/f.u.
- Crystal system: cubic

Geometry as POSCAR:
```
Sc2CrBr
1.0
-3.3256 -3.6144 -0.4992
1.4968 -4.6671 -0.5918
-0.6460 -3.2791 3.6336
Br Cr Sc
1 1 2
Direct
0.5000 0.5000 0.5000
0.7500 0.7500 0.7500
0.0000 0.0000 0.0000
0.2500 0.2500 0.2500
```

=====

Record 6
A plane-wave DFT calculation with GGA-PBE was carried out for an optimized crystal structure of Sc2CrBr.

Summary:
- Calculated total energy: -5.81 eV/atom
- Raw formation energy: 0.7 eV/f.u.
- Crystal system: tetragonal

Geometry as POSCAR:
```
Sc2CrBr
1.0
5.2861 -0.0061 0.0000
1.5353 5.0582 0.0000
-3.4107 -2.5261 3.1510
Cr Br Sc
1 1 2
Direct
0.7500 0.2500 0.5000
0.2500 0.7500 0.5000
0.0000 0.0000 0.0000
0.5000 0.5000 0.0000
```

=====

Record 7
A plane-wave DFT calculation with GGA-PBE was carried out for an optimized crystal structure of ScCrBr2.

Summary:
- Calculated total energy: -5.30 eV/atom
- Raw formation energy: -1.9 eV/f.u.
- Crystal system: monoclinic

Geometry as POSCAR:
```
ScCrBr2
1.0
3.5777 0.0000 0.0000
0.0000 3.5712 0.0561
0.0000 3.2308 7.6064
Cr Sc Br
1 1 2
Direct
0.0000 0.4319 0.5328
0.5000 0.7754 0.7189
0.0000 0.1064 0.9022
0.5000 0.1863 0.3461
```

=====

Record 8
A plane-wave DFT calculation with GGA-PBE was carried out for an optimized crystal structure of Sc2CrBr.

Summary:
- Calculated total energy: -6.22 eV/atom
- Raw formation energy: -0.9 eV/f.u.
- Crystal system: tetragonal

Geometry as POSCAR:
```
Sc2CrBr
1.0
-0.3402 0.2676 -3.2450
0.9931 -3.0985 -0.3612
-7.2779 -2.3985 0.5652
Sc Br Cr
2 1 1
Direct
0.0000 0.0000 0.5405
0.0000 0.0000 0.9595
0.5000 0.5000 0.2500
0.5000 0.5000 0.7500
```